Material: La2NbGeCl
Method: DFT, meta-GGA SCAN
State: single point on PBEsol structure

a = 4.763 Å, b = 5.822 Å, c = 5.822 Å
α = 90.00°, β = 90.00°, γ = 90.00°
Site moments in Bohr magnetons follow the coordinates.
Element x y z (fractional)
Ge: 0.000 0.000 0.000  0.01
La: 0.000 0.000 0.500  0.24
La: 0.000 0.500 0.000  0.24
Nb: 0.500 0.500 0.500  2.82
Cl: 0.500 0.000 0.000  0.07

Output
VASP energy (eV/f.u.): -144.3
E_form (uncorrected) (meV/atom): 413
Space group: P4/mmm